Pu2SnHg at its PBEsol-relaxed geometry, computed with SCAN.

Output
Calculated formation energy   -0.08 eV per atom
Total magnetic moment   3.003 μB per atom

abc: 5.210 5.210 5.210
angles: 60.00 60.00 60.00
Last column: magnetic moment on the atom in μB.
Fractional positions:
1 Pu 0.750 0.750 0.750  5.52
2 Hg 0.500 0.500 0.500  0.07
3 Sn 0.000 0.000 0.000  -0.07
4 Pu 0.250 0.250 0.250  5.52


Rb3Hg at its PBEsol-relaxed geometry, computed with SCAN.

Output
Calculated formation energy   -0.05 eV per atom
Total magnetic moment   0.121 μB per atom

abc: 6.019 6.019 6.019
angles: 90.00 90.00 90.00
Fractional positions:
1 Hg 0.000 0.000 0.000
2 Rb 0.500 0.000 0.500
3 Rb 0.500 0.500 0.000
4 Rb 0.000 0.500 0.500


RbHg3 at its PBEsol-relaxed geometry, computed with SCAN.

Output
Calculated formation energy   -0.29 eV per atom
Total magnetic moment   0.000 μB per atom

abc: 5.214 7.394 7.394
angles: 120.00 90.00 90.00
Fractional positions:
1 Rb 0.750 0.333 0.667
2 Hg 0.750 0.857 0.143
3 Hg 0.250 0.143 0.857
4 Hg 0.250 0.714 0.857
5 Hg 0.750 0.286 0.143
6 Hg 0.250 0.143 0.286
7 Rb 0.250 0.667 0.333
8 Hg 0.750 0.857 0.714


Rb3Hg at its PBEsol-relaxed geometry, computed with SCAN.

Output
Calculated formation energy   -0.04 eV per atom
Total magnetic moment   0.000 μB per atom

abc: 6.742 6.742 6.742
angles: 60.00 60.00 60.00
Fractional positions:
1 Rb 0.750 0.750 0.750
2 Rb 0.250 0.250 0.250
3 Rb 0.500 0.500 0.500
4 Hg 0.000 0.000 0.000


RbHg11 at its PBEsol-relaxed geometry, computed with SCAN.

Output
Calculated formation energy   -0.13 eV per atom
Total magnetic moment   0.000 μB per atom

abc: 9.751 9.751 9.751
angles: 90.00 90.00 90.00
Fractional positions:
1 Hg 0.346 0.346 0.000
2 Hg 0.732 0.500 0.732
3 Hg 0.846 0.846 0.154
4 Hg 0.654 0.000 0.346
5 Hg 0.346 0.000 0.346
6 Hg 0.732 0.732 0.500
7 Hg 0.000 0.654 0.654
8 Hg 0.346 0.000 0.654
9 Hg 0.654 0.000 0.654
10 Hg 0.268 0.268 0.500
11 Hg 0.154 0.154 0.154
12 Hg 0.000 0.346 0.346
13 Hg 0.154 0.154 0.846
14 Hg 0.500 0.732 0.732
15 Hg 0.000 0.346 0.654
16 Hg 0.154 0.846 0.154
17 Rb 0.500 0.000 0.000
18 Hg 0.846 0.154 0.154
19 Hg 0.732 0.500 0.268
20 Hg 0.500 0.500 0.500
21 Hg 0.346 0.654 0.000
22 Hg 0.268 0.500 0.732
23 Hg 0.500 0.268 0.732
24 Hg 0.500 0.732 0.268
25 Hg 0.268 0.732 0.500
26 Hg 0.846 0.846 0.846
27 Hg 0.732 0.268 0.500
28 Hg 0.846 0.154 0.846
29 Rb 0.000 0.500 0.000
30 Hg 0.000 0.654 0.346
31 Rb 0.000 0.000 0.500
32 Hg 0.654 0.346 0.000
33 Hg 0.268 0.500 0.268
34 Hg 0.154 0.846 0.846
35 Hg 0.500 0.268 0.268
36 Hg 0.654 0.654 0.000


RbReHg3 at its PBEsol-relaxed geometry, computed with SCAN.

Output
Calculated formation energy   0.38 eV per atom
Total magnetic moment   0.378 μB per atom

abc: 5.279 5.279 5.279
angles: 90.00 90.00 90.00
Last column: magnetic moment on the atom in μB.
Fractional positions:
1 Hg 0.000 0.000 0.500  0.05
2 Re 0.000 0.000 0.000  1.46
3 Rb 0.500 0.500 0.500  -0.01
4 Hg 0.000 0.500 0.000  0.05
5 Hg 0.500 0.000 0.000  0.05


Rb2Hg2Rh at its PBEsol-relaxed geometry, computed with SCAN.

Output
Calculated formation energy   0.42 eV per atom
Total magnetic moment   0.281 μB per atom

abc: 4.010 4.010 10.617
angles: 100.89 100.89 90.00
Last column: magnetic moment on the atom in μB.
Fractional positions:
1 Hg 0.750 0.250 0.500  0.00
2 Hg 0.250 0.750 0.500  0.00
3 Rh 0.000 0.000 0.000  -1.30
4 Rb 0.407 0.407 0.814  0.00
5 Rb 0.593 0.593 0.186  0.00


RbHg3Rh at its PBEsol-relaxed geometry, computed with SCAN.

Output
Calculated formation energy   -0.24 eV per atom
Total magnetic moment   0.000 μB per atom

abc: 5.230 5.230 5.230
angles: 90.00 90.00 90.00
Fractional positions:
1 Rh 0.000 0.000 0.000
2 Rb 0.500 0.500 0.500
3 Hg 0.000 0.000 0.500
4 Hg 0.000 0.500 0.000
5 Hg 0.500 0.000 0.000


Rb2Hg2S at its PBEsol-relaxed geometry, computed with SCAN.

Output
Total magnetic moment   0.000 μB per atom
Formation energy without anion corrections   -0.418 eV/atom

abc: 6.456 6.456 6.456
angles: 92.93 118.32 118.32
Fractional positions:
1 Hg 0.000 0.682 0.682
2 S 0.000 0.000 0.000
3 Rb 0.500 0.750 0.250
4 Hg 0.000 0.318 0.318
5 Rb 0.500 0.250 0.750


RbHgSb3 at its PBEsol-relaxed geometry, computed with SCAN.

Output
Total magnetic moment   0.000 μB per atom
Formation energy without anion corrections   0.341 eV/atom

abc: 5.620 5.620 5.620
angles: 90.00 90.00 90.00
Fractional positions:
1 Sb 0.500 0.000 0.000
2 Sb 0.000 0.500 0.000
3 Hg 0.000 0.000 0.000
4 Sb 0.000 0.000 0.500
5 Rb 0.500 0.500 0.500


Rb2HgSb at its PBEsol-relaxed geometry, computed with SCAN.

Output
Total magnetic moment   0.250 μB per atom
Formation energy without anion corrections   -0.291 eV/atom

abc: 6.000 6.000 6.000
angles: 60.00 60.00 60.00
Last column: magnetic moment on the atom in μB.
Fractional positions:
1 Hg 0.500 0.500 0.500  0.02
2 Sb 0.000 0.000 0.000  0.38
3 Rb 0.750 0.750 0.750  0.01
4 Rb 0.250 0.250 0.250  0.01


RbHgSb2 at its PBEsol-relaxed geometry, computed with SCAN.

Output
Total magnetic moment   0.000 μB per atom
Formation energy without anion corrections   -0.118 eV/atom

abc: 5.530 5.530 10.582
angles: 105.15 105.15 90.00
Fractional positions:
1 Rb 0.750 0.250 0.500
2 Hg 0.000 0.000 0.000
3 Hg 0.250 0.750 0.500
4 Sb 0.241 0.875 0.250
5 Sb 0.625 0.759 0.750
6 Rb 0.500 0.500 0.000
7 Sb 0.125 0.991 0.750
8 Sb 0.009 0.375 0.250